First-principles (PBE-GGA) data for an optimized crystal structure of Be2CoAg, as listed in Alexandria via LeMat-Bulk.

Results
Its distance to the lowest polymorph of the same formula is 432 meV/atom. The formation enthalpy at 0 K comes out at 310 meV per atom.

Unit cell a=4.0149 b=4.0149 c=4.0149 alpha=60.00 beta=60.00 gamma=60.00
With the nearest neighbours (Å) after each atom.
Positions (direct):
Be  0.0000  0.0000  0.0000  4 Co 2.46, 4 Be 2.46
Be  0.2500  0.2500  0.2500  4 Ag 2.46, 4 Be 2.46
Co  0.7500  0.7500  0.7500  4 Be 2.46, 4 Ag 2.46
Ag  0.5000  0.5000  0.5000  4 Co 2.46, 4 Be 2.46

---

First-principles (PBE-GGA) data for an optimized crystal structure of CeTmPaPb, as listed in Alexandria via LeMat-Bulk.

Results
The formation enthalpy at 0 K comes out at 166 meV per atom.

Unit cell a=5.3611 b=5.3611 c=5.3611 alpha=60.00 beta=60.00 gamma=60.00
With the nearest neighbours (Å) after each atom.
Positions (direct):
Ce  0.0000  0.0000  0.0000  4 Tm 3.28, 4 Pa 3.28
Tm  0.7500  0.7500  0.7500  4 Pb 3.28, 4 Ce 3.28
Pa  0.2500  0.2500  0.2500  4 Pb 3.28, 4 Ce 3.28
Pb  0.5000  0.5000  0.5000  4 Tm 3.28, 4 Pa 3.28

---

Number 1: M_tot 0.18 μB/atom, E -16.171 eV/cell. Number 2: M_tot 0.66 μB/atom, E -22.946 eV/cell.